The following is a DFT calculation (GGA-PBE) of crystalline LaTcP2Cl at its relaxed geometry.

a b c (Å): 4.6065 4.9915 4.6065
angles (deg): 90.00 90.00 90.00
Closest atoms and distances in Å follow each position.
Fractional coordinates of all 5 atoms:
1 La 0.5000 0.5000 0.5000  4 Cl 3.26, 8 P 3.40
2 Tc 0.0000 0.0000 0.0000  4 P 2.30, 2 Cl 2.50
3 P 0.0000 0.0000 0.5000  2 Tc 2.30
4 P 0.5000 0.0000 0.0000  2 Tc 2.30
5 Cl 0.0000 0.5000 0.0000  2 Tc 2.50

Computed properties:
Uncorrected formation energy   -0.548 eV per atom
Magnetic moment   0.00 Bohr magnetons per cell
E above lowest polymorph   0 meV per atom

The following is a DFT calculation (GGA-PBE) of crystalline LaTcPCl2 at its relaxed geometry.

a b c (Å): 5.3837 5.3837 5.8679
angles (deg): 90.00 90.00 90.00
Closest atoms and distances in Å follow each position.
Fractional coordinates of all 5 atoms:
1 Cl 0.0000 0.5000 0.0000  2 La 2.69
2 Cl 0.5000 0.0000 0.0000  2 La 2.69
3 P 0.0000 0.0000 0.5000  2 La 2.93
4 La 0.0000 0.0000 0.0000  4 Cl 2.69, 2 P 2.93
5 Tc 0.5000 0.5000 0.5000  4 P 3.81, 8 Cl 3.98

Computed properties:
Uncorrected formation energy   0.033 eV per atom
Magnetic moment   4.79 Bohr magnetons per cell
E above lowest polymorph   629 meV per atom

The following is a DFT calculation (GGA-PBE) of crystalline LaTcPCl2 at its relaxed geometry.

a b c (Å): 4.8274 4.8274 4.6518
angles (deg): 90.00 90.00 90.00
Closest atoms and distances in Å follow each position.
Fractional coordinates of all 5 atoms:
1 Tc 0.0000 0.0000 0.0000  2 P 2.33, 4 Cl 2.41
2 La 0.5000 0.5000 0.5000  8 Cl 3.35, 4 P 3.41
3 Cl 0.0000 0.5000 0.0000  2 Tc 2.41
4 Cl 0.5000 0.0000 0.0000  2 Tc 2.41
5 P 0.0000 0.0000 0.5000  2 Tc 2.33

Computed properties:
Uncorrected formation energy   -0.596 eV per atom
Magnetic moment   0.01 Bohr magnetons per cell
E above lowest polymorph   0 meV per atom

The following is a DFT calculation (GGA-PBE) of crystalline La4Te2PCl at its relaxed geometry.

a b c (Å): 4.3581 7.5778 7.7306
angles (deg): 108.82 90.00 90.00
Closest atoms and distances in Å follow each position.
Fractional coordinates of all 8 atoms:
1 La 0.0000 0.2471 0.7801  1 P 2.91, 2 Cl 3.03, 2 Te 3.21
2 La 0.5000 0.2277 0.2146  2 P 2.94, 1 Cl 3.04, 1 Te 3.21
3 La 0.0000 0.7529 0.2199  1 P 2.91, 2 Cl 3.03, 2 Te 3.21
4 La 0.5000 0.7723 0.7854  2 P 2.94, 1 Cl 3.04, 1 Te 3.21
5 Te 0.5000 0.0000 0.5000  6 La 3.21
6 Te 0.0000 0.5000 0.5000  6 La 3.31-3.32
7 P 0.0000 0.0000 0.0000  6 La 2.91-2.94
8 Cl 0.5000 0.5000 0.0000  6 La 3.03-3.04

Computed properties:
Uncorrected formation energy   -1.635 eV per atom
Magnetic moment   0.00 Bohr magnetons per cell

The following is a DFT calculation (GGA-PBE) of crystalline La6TeP3Cl2 at its relaxed geometry.

a b c (Å): 4.2549 8.8332 9.7915
angles (deg): 105.83 102.55 90.00
Closest atoms and distances in Å follow each position.
Fractional coordinates of all 12 atoms:
1 Te 0.5000 0.0000 0.0000  6 La 3.23-3.24
2 La 0.0069 0.7283 0.0137  3 P 2.91-2.92, 2 Te 3.24
3 La 0.9931 0.2717 0.9863  3 P 2.91-2.92, 2 Te 3.24
4 La 0.3251 0.9388 0.6502  3 P 2.92, 1 Te 3.23
5 La 0.6575 0.6014 0.3151  3 P 2.89-2.90, 3 Cl 3.17-3.20
6 La 0.6749 0.0612 0.3498  3 P 2.92, 1 Te 3.23
7 La 0.3425 0.3986 0.6849  3 P 2.89-2.90, 3 Cl 3.17-3.20
8 Cl 0.1712 0.3406 0.3424  6 La 3.17-3.29
9 Cl 0.8288 0.6594 0.6576  6 La 3.17-3.29
10 P 0.1661 0.8295 0.3322  6 La 2.90-2.92
11 P 0.8339 0.1705 0.6678  6 La 2.90-2.92
12 P 0.5000 0.5000 0.0000  6 La 2.89-2.91

Computed properties:
Uncorrected formation energy   -1.700 eV per atom
Magnetic moment   0.00 Bohr magnetons per cell

The following is a DFT calculation (GGA-PBE) of crystalline La6Te3P2Cl at its relaxed geometry.

a b c (Å): 4.3599 8.9359 9.9213
angles (deg): 104.45 102.69 90.00
Closest atoms and distances in Å follow each position.
Fractional coordinates of all 12 atoms:
1 La 0.3248 0.4364 0.6496  3 P 2.96-2.98, 3 Te 3.29-3.30
2 La 0.9886 0.7576 0.9773  1 P 2.91, 2 Cl 3.04, 2 Te 3.22
3 La 0.0114 0.2424 0.0227  1 P 2.91, 2 Cl 3.04, 2 Te 3.22
4 La 0.6752 0.5636 0.3504  3 P 2.96-2.98, 3 Te 3.29-3.30
5 La 0.6647 0.1107 0.3295  2 P 2.94, 1 Cl 3.09, 3 Te 3.23-3.29
6 La 0.3353 0.8893 0.6705  2 P 2.94, 1 Cl 3.09, 3 Te 3.23-3.29
7 Te 0.1639 0.8338 0.3277  6 La 3.23-3.30
8 Te 0.5000 0.5000 0.0000  6 La 3.22-3.29
9 Te 0.8361 0.1662 0.6723  6 La 3.23-3.30
10 P 0.1669 0.3331 0.3337  6 La 2.91-2.98
11 P 0.8331 0.6669 0.6663  6 La 2.91-2.98
12 Cl 0.5000 0.0000 0.0000  6 La 3.04-3.09

Computed properties:
Uncorrected formation energy   -1.645 eV per atom
Magnetic moment   0.00 Bohr magnetons per cell

The following is a DFT calculation (GGA-PBE) of crystalline La6TeP2Cl3 at its relaxed geometry.

a b c (Å): 4.2805 8.6014 9.5145
angles (deg): 100.29 103.00 90.00
Closest atoms and distances in Å follow each position.
Fractional coordinates of all 12 atoms:
1 Te 0.5000 0.0000 0.0000  6 La 3.15-3.18
2 La 0.6706 0.5683 0.3412  3 P 2.90-2.93, 3 Cl 3.11-3.15
3 La 0.6736 0.1106 0.3471  2 P 2.90, 3 Cl 3.01-3.19, 1 Te 3.18
4 La 0.3264 0.8894 0.6529  2 P 2.90, 3 Cl 3.01-3.19, 1 Te 3.18
5 La 0.0129 0.2719 0.0258  1 P 2.89, 3 Cl 2.94-3.19, 2 Te 3.15
6 La 0.3294 0.4317 0.6588  3 P 2.90-2.93, 3 Cl 3.11-3.15
7 La 0.9871 0.7281 0.9742  1 P 2.89, 3 Cl 2.94-3.19, 2 Te 3.15
8 Cl 0.1611 0.8323 0.3221  6 La 3.01-3.19
9 Cl 0.8389 0.1677 0.6779  6 La 3.01-3.19
10 Cl 0.5000 0.5000 0.0000  6 La 2.94-3.11
11 P 0.8288 0.6633 0.6575  6 La 2.89-2.93
12 P 0.1712 0.3367 0.3425  6 La 2.89-2.93

Computed properties:
Uncorrected formation energy   -1.649 eV per atom
Magnetic moment   0.00 Bohr magnetons per cell

The following is a DFT calculation (GGA-PBE) of crystalline LaTePCl2 at its relaxed geometry.

a b c (Å): 5.3346 5.3346 6.2311
angles (deg): 90.00 90.00 90.00
Closest atoms and distances in Å follow each position.
Fractional coordinates of all 5 atoms:
1 P 0.0000 0.0000 0.5000  2 La 3.12
2 La 0.0000 0.0000 0.0000  4 Cl 2.67
3 Te 0.5000 0.5000 0.5000  4 P 3.77, 8 Cl 4.10
4 Cl 0.5000 0.0000 0.0000  2 La 2.67
5 Cl 0.0000 0.5000 0.0000  2 La 2.67

Computed properties:
Uncorrected formation energy   -0.671 eV per atom
Magnetic moment   0.40 Bohr magnetons per cell
E above lowest polymorph   0 meV per atom

The following is a DFT calculation (GGA-PBE) of crystalline LaTePCl2 at its relaxed geometry.

a b c (Å): 5.2430 5.2430 5.4537
angles (deg): 90.00 90.00 90.00
Closest atoms and distances in Å follow each position.
Fractional coordinates of all 5 atoms:
1 Te 0.0000 0.0000 0.0000  4 Cl 2.62, 2 P 2.73
2 Cl 0.0000 0.5000 0.0000  2 Te 2.62
3 Cl 0.5000 0.0000 0.0000  2 Te 2.62
4 P 0.0000 0.0000 0.5000  2 Te 2.73
5 La 0.5000 0.5000 0.5000  4 P 3.71, 8 Cl 3.78

Computed properties:
Uncorrected formation energy   -0.240 eV per atom
Magnetic moment   0.32 Bohr magnetons per cell
E above lowest polymorph   431 meV per atom

The following is a DFT calculation (GGA-PBE) of crystalline LaTe2PCl at its relaxed geometry.

a b c (Å): 5.2310 5.7019 5.2310
angles (deg): 90.00 90.00 90.00
Closest atoms and distances in Å follow each position.
Fractional coordinates of all 5 atoms:
1 La 0.0000 0.5000 0.0000  2 P 2.85
2 P 0.0000 0.0000 0.0000  4 Te 2.62, 2 La 2.85
3 Te 0.5000 0.0000 0.0000  2 P 2.62
4 Te 0.0000 0.0000 0.5000  2 P 2.62
5 Cl 0.5000 0.5000 0.5000  4 La 3.70, 8 Te 3.87

Computed properties:
Uncorrected formation energy   -0.542 eV per atom
Magnetic moment   0.00 Bohr magnetons per cell

The following is a DFT calculation (GGA-PBE) of crystalline La3TePCl at its relaxed geometry.

a b c (Å): 4.3572 8.8768 9.7219
angles (deg): 100.89 90.00 90.00
Closest atoms and distances in Å follow each position.
Fractional coordinates of all 12 atoms:
1 La 0.2500 0.1235 0.8701  1 Cl 2.79, 2 P 2.98
2 La 0.7500 0.4275 0.1486  3 P 2.93-2.97
3 La 0.7500 0.8765 0.1299  1 Cl 2.79, 2 P 2.98
4 La 0.2500 0.5725 0.8514  3 P 2.93-2.97
5 La 0.2500 0.7110 0.4690  2 Cl 2.84, 1 P 2.97
6 La 0.7500 0.2890 0.5310  2 Cl 2.84, 1 P 2.97
7 Te 0.2500 0.1718 0.2213  7 La 3.32-3.70, 1 Cl 3.66
8 Te 0.7500 0.8282 0.7787  7 La 3.32-3.70, 1 Cl 3.66
9 Cl 0.7500 0.9000 0.4205  3 La 2.79-2.84, 2 Cl 3.04
10 Cl 0.2500 0.1000 0.5795  3 La 2.79-2.84, 2 Cl 3.04
11 P 0.2500 0.6559 0.1580  6 La 2.93-2.98
12 P 0.7500 0.3441 0.8420  6 La 2.93-2.98

Computed properties:
Uncorrected formation energy   -1.522 eV per atom
Magnetic moment   1.71 Bohr magnetons per cell

The following is a DFT calculation (GGA-PBE) of crystalline LaTiP2Cl at its relaxed geometry.

a b c (Å): 4.7894 4.7894 4.7148
angles (deg): 90.00 90.00 90.00
Closest atoms and distances in Å follow each position.
Fractional coordinates of all 5 atoms:
1 Ti 0.0000 0.0000 0.0000  2 Cl 2.36, 4 P 2.39
2 P 0.5000 0.0000 0.0000  2 Ti 2.39
3 P 0.0000 0.5000 0.0000  2 Ti 2.39
4 Cl 0.0000 0.0000 0.5000  2 Ti 2.36
5 La 0.5000 0.5000 0.5000  8 P 3.36, 4 Cl 3.39

Computed properties:
Uncorrected formation energy   -1.037 eV per atom
Magnetic moment   0.00 Bohr magnetons per cell
E above lowest polymorph   0 meV per atom

Repeat the twelfth record exactly.
The following is a DFT calculation (GGA-PBE) of crystalline LaTiP2Cl at its relaxed geometry.

a b c (Å): 4.7894 4.7894 4.7148
angles (deg): 90.00 90.00 90.00
Closest atoms and distances in Å follow each position.
Fractional coordinates of all 5 atoms:
1 Ti 0.0000 0.0000 0.0000  2 Cl 2.36, 4 P 2.39
2 P 0.5000 0.0000 0.0000  2 Ti 2.39
3 P 0.0000 0.5000 0.0000  2 Ti 2.39
4 Cl 0.0000 0.0000 0.5000  2 Ti 2.36
5 La 0.5000 0.5000 0.5000  8 P 3.36, 4 Cl 3.39

Computed properties:
Uncorrected formation energy   -1.037 eV per atom
Magnetic moment   0.00 Bohr magnetons per cell
E above lowest polymorph   0 meV per atom

Question: Number 6 is which compound?
Answer: La6Te3P2Cl

Question: Which value of uncorrected formation energy does entry 3 give?
Answer: -0.596 eV per atom